! LiPdBr (GGA-PBE, optimized geometry); values from VASP
! - Energy above the lowest structure with this stoichiometry: 225.4 meV per atom
! - Theoretical density: 5.523 g/cm³
! - Raw formation energy: -0.41 eV/atom
! - Uncorrected energy: -3.3405 eV/atom
! - Space-group type: No. 62
&SYSTEM
  ibrav = 0, nat = 12, ntyp = 3
/
ATOMIC_SPECIES
Br 79.90 Br.upf
Li 6.94 Li.upf
Pd 106.42 Pd.upf
ATOMIC_POSITIONS angstrom
Br 0.000 0.000 0.000
Br 2.847 3.893 2.622
Br 0.000 3.893 0.000
Br 2.847 0.000 2.622
Li 0.844 1.946 3.490
Li 4.850 5.839 1.753
Li 3.691 1.946 4.375
Li 2.003 5.839 0.868
Pd 1.635 1.946 0.986
Pd 1.212 5.839 3.608
Pd 4.059 5.839 4.257
Pd 4.482 1.946 1.635
CELL_PARAMETERS angstrom
5.694 0.000 0.000
0.000 7.786 0.000
0.000 0.000 5.243